Entry 1:
BaYHfO2 | Alexandria | PBE | relaxed; SG = P4/mmm (123); density of states at the Fermi level = 0.824 states/eV per atom; calculated volume = 22.90 Å³ per atom; uncorrected formation energy = -4.70 eV/f.u.
1.0
4.264 0.000 0.000
0.000 4.264 0.000
0.000 0.000 6.296
Ba Y Hf O
1 1 1 2
Cartesian
0.000 0.000 0.000
2.132 2.132 0.000
2.132 2.132 3.148
0.000 2.132 3.148
2.132 0.000 3.148

---

Entry 2:
BaHf2Zn2O7 | Alexandria | PBE | relaxed; SG = Immm (71); density of states at the Fermi level = 0.000 states/eV per atom; calculated volume = 13.25 Å³ per atom; uncorrected formation energy = -32.11 eV/f.u.
1.0
-2.060 2.117 9.112
2.060 -2.117 9.112
2.060 2.117 -9.112
Ba Hf Zn O
1 2 2 7
Cartesian
0.000 0.000 0.000
0.000 0.000 7.040
0.000 0.000 11.184
2.060 0.000 4.297
0.000 2.117 4.815
2.060 0.000 2.165
0.000 0.000 4.878
2.060 0.000 7.092
0.000 0.000 9.112
0.000 2.117 2.020
0.000 0.000 13.346
0.000 2.117 6.947

---

Entry 3:
Ba3HfZn2O6 | Alexandria | PBE | relaxed; SG = P-3m1 (164); density of states at the Fermi level = 0.248 states/eV per atom; calculated volume = 18.21 Å³ per atom; uncorrected formation energy = -28.00 eV/f.u.
1.0
5.975 0.000 0.000
-2.987 5.174 0.000
0.000 0.000 7.068
Ba Hf Zn O
3 1 2 6
Cartesian
0.000 0.000 0.000
0.000 3.449 4.562
2.987 1.725 2.506
0.000 0.000 3.534
0.000 3.449 1.350
2.987 1.725 5.718
0.000 1.684 2.295
-1.529 4.332 2.295
1.459 0.842 4.772
1.529 4.332 2.295
4.516 0.842 4.772
2.987 3.490 4.772

---

Entry 4:
Ba3HfZr2O9 | Alexandria | PBE | relaxed; SG = P-3m1 (164); density of states at the Fermi level = 0.000 states/eV per atom; calculated volume = 15.22 Å³ per atom; uncorrected formation energy = -49.04 eV/f.u.
1.0
5.993 0.000 0.000
-2.996 5.190 0.000
0.000 0.000 7.340
Ba Hf Zr O
3 1 2 9
Cartesian
0.000 0.000 0.000
0.000 3.460 4.896
2.996 1.730 2.444
0.000 0.000 3.670
0.000 3.460 1.237
2.996 1.730 6.103
-1.498 2.595 0.000
0.000 1.715 2.460
-1.511 4.332 2.460
1.486 0.858 4.880
2.996 0.000 0.000
1.498 2.595 0.000
1.511 4.332 2.460
4.507 0.858 4.880
2.996 3.475 4.880

---

Entry 5:
Ba3Hf2ZrO9 | Alexandria | PBE | relaxed; SG = P-3m1 (164); density of states at the Fermi level = 0.000 states/eV per atom; calculated volume = 15.03 Å³ per atom; uncorrected formation energy = -49.78 eV/f.u.
1.0
5.968 0.000 0.000
-2.984 5.169 0.000
0.000 0.000 7.310
Ba Hf Zr O
3 2 1 9
Cartesian
0.000 0.000 0.000
0.000 3.446 4.871
2.984 1.723 2.440
0.000 3.446 1.205
2.984 1.723 6.106
0.000 0.000 3.655
-1.492 2.584 0.000
0.000 1.737 2.423
-1.480 4.300 2.423
1.505 0.869 4.887
2.984 0.000 0.000
1.492 2.584 0.000
1.480 4.300 2.423
4.464 0.869 4.887
2.984 3.431 4.887

---

Entry 6:
BaHfZrO2 | Alexandria | PBE | relaxed; SG = P4/mmm (123); density of states at the Fermi level = 0.929 states/eV per atom; calculated volume = 27.16 Å³ per atom; uncorrected formation energy = 3.21 eV/f.u.
1.0
4.451 0.000 0.000
0.000 4.451 0.000
0.000 0.000 6.856
Ba Hf Zr O
1 1 1 2
Cartesian
0.000 0.000 0.000
0.000 0.000 3.428
2.225 2.225 3.428
0.000 2.225 0.000
2.225 0.000 0.000

---

Entry 7:
BaHf2Os | Alexandria | PBE | relaxed; SG = Fm-3m (225); calculated formation energy = 58.6 kJ per mole of atoms; density of states at the Fermi level = 1.572 states/eV per atom; energy above the most stable polymorph in this dataset = 0.0 meV/atom; calculated volume = 21.62 Å³ per atom
1.0
0.000 3.510 3.510
3.510 0.000 3.510
3.510 3.510 0.000
Ba Hf Os
1 2 1
Cartesian
0.000 0.000 0.000
1.755 1.755 1.755
5.265 5.265 5.265
3.510 3.510 3.510

---

Entry 8:
BaHfOs3 | Alexandria | PBE | relaxed; SG = Pm-3m (221); calculated formation energy = 309.3 kJ per mole of atoms; density of states at the Fermi level = 0.998 states/eV per atom; energy above the most stable polymorph in this dataset = 1586.9 meV/atom; calculated volume = 23.81 Å³ per atom
1.0
4.919 0.000 0.000
0.000 4.919 0.000
0.000 0.000 4.919
Ba Hf Os
1 1 3
Cartesian
0.000 0.000 0.000
2.460 2.460 2.460
0.000 0.000 2.460
0.000 2.460 0.000
2.460 0.000 0.000

---

Entry 9:
BaHf2Os | Alexandria | PBE | relaxed; SG = I4_1/amd (141); calculated formation energy = 87.8 kJ per mole of atoms; density of states at the Fermi level = 1.871 states/eV per atom; energy above the most stable polymorph in this dataset = 302.8 meV/atom; calculated volume = 35.54 Å³ per atom
1.0
-2.903 2.903 8.434
2.903 -2.903 8.434
2.903 2.903 -8.434
Ba Hf Os
2 4 2
Cartesian
2.903 1.451 2.109
0.000 1.451 6.326
0.000 0.000 0.000
1.451 1.451 -4.217
1.451 -1.451 4.217
0.000 2.903 0.000
2.903 -1.451 6.326
0.000 4.354 2.109

---

Entry 10:
Ba3HfOs | Alexandria | PBE | relaxed; SG = Pm-3m (221); calculated formation energy = 108.2 kJ per mole of atoms; density of states at the Fermi level = 2.244 states/eV per atom; energy above the most stable polymorph in this dataset = 0.0 meV/atom; calculated volume = 41.96 Å³ per atom
1.0
5.942 0.000 0.000
0.000 5.942 0.000
0.000 0.000 5.942
Ba Hf Os
3 1 1
Cartesian
0.000 0.000 2.971
0.000 2.971 0.000
2.971 0.000 0.000
2.971 2.971 2.971
0.000 0.000 0.000

---

Entry 11:
BaHfOs3 | Alexandria | PBE | relaxed; SG = Pm-3m (221); calculated formation energy = 156.2 kJ per mole of atoms; density of states at the Fermi level = 1.918 states/eV per atom; energy above the most stable polymorph in this dataset = 0.0 meV/atom; calculated volume = 24.74 Å³ per atom
1.0
4.982 0.000 0.000
0.000 4.982 0.000
0.000 0.000 4.982
Ba Hf Os
1 1 3
Cartesian
0.000 0.000 0.000
2.491 2.491 2.491
0.000 2.491 2.491
2.491 0.000 2.491
2.491 2.491 0.000

---

Entry 12:
BaHfPOs2 | Alexandria | PBE | relaxed; SG = P4/mmm (123); calculated formation energy = 170.2 kJ per mole of atoms; density of states at the Fermi level = 1.077 states/eV per atom; calculated volume = 28.89 Å³ per atom
1.0
4.822 0.000 0.000
0.000 4.822 0.000
0.000 0.000 6.212
Ba Hf P Os
1 1 1 2
Cartesian
0.000 0.000 0.000
0.000 0.000 3.106
2.411 2.411 0.000
0.000 2.411 3.106
2.411 0.000 3.106

---

Entry 13:
BaHfP2Os | Alexandria | PBE | relaxed; SG = P4/mmm (123); calculated formation energy = 276.8 kJ per mole of atoms; density of states at the Fermi level = 1.546 states/eV per atom; calculated volume = 28.69 Å³ per atom
1.0
5.043 0.000 0.000
0.000 5.043 0.000
0.000 0.000 5.641
Ba Hf P Os
1 1 2 1
Cartesian
0.000 0.000 0.000
0.000 0.000 2.820
0.000 2.521 0.000
2.521 0.000 0.000
2.521 2.521 2.820

---

Entry 14:
BaHf2TeOs | Alexandria | PBE | relaxed; SG = P4/mmm (123); density of states at the Fermi level = 0.822 states/eV per atom; calculated volume = 32.38 Å³ per atom; uncorrected formation energy = 0.72 eV/f.u.
1.0
4.999 0.000 0.000
0.000 4.999 0.000
0.000 0.000 6.477
Ba Hf Te Os
1 2 1 1
Cartesian
0.000 0.000 0.000
0.000 2.500 3.238
2.500 0.000 3.238
2.500 2.500 0.000
0.000 0.000 3.238

---

Entry 15:
BaHf2VOs | Alexandria | PBE | relaxed; SG = P4/mmm (123); calculated formation energy = 257.5 kJ per mole of atoms; density of states at the Fermi level = 1.569 states/eV per atom; calculated volume = 24.21 Å³ per atom
1.0
5.158 0.000 0.000
0.000 5.158 0.000
0.000 0.000 4.549
Ba Hf V Os
1 2 1 1
Cartesian
0.000 0.000 0.000
0.000 2.579 0.000
2.579 0.000 0.000
0.000 0.000 2.275
2.579 2.579 2.275

---

Entry 16:
BaHfP2 | Alexandria | PBE | relaxed; SG = Fm-3m (225); calculated formation energy = -29.3 kJ per mole of atoms; density of states at the Fermi level = 0.653 states/eV per atom; energy above the most stable polymorph in this dataset = 797.0 meV/atom; calculated volume = 22.26 Å³ per atom
1.0
0.000 3.544 3.544
3.544 0.000 3.544
3.544 3.544 0.000
Ba Hf P
1 1 2
Cartesian
0.000 0.000 0.000
3.544 3.544 3.544
1.772 1.772 1.772
5.316 5.316 5.316

---

Entry 17:
Ba2HfP2 | Alexandria | PBE | relaxed; SG = P4/mbm (127); calculated formation energy = -60.3 kJ per mole of atoms; density of states at the Fermi level = 0.016 states/eV per atom; energy above the most stable polymorph in this dataset = 0.0 meV/atom; calculated volume = 28.02 Å³ per atom
1.0
7.629 0.000 0.000
0.000 7.629 0.000
0.000 0.000 4.815
Ba Hf P
4 2 4
Cartesian
1.136 2.678 0.000
2.678 6.493 0.000
4.951 1.136 0.000
6.493 4.951 0.000
0.000 0.000 2.407
3.814 3.814 2.407
1.330 5.145 2.407
2.484 1.330 2.407
5.145 6.299 2.407
6.299 2.484 2.407

---

Entry 18:
BaHfP3 | Alexandria | PBE | relaxed; SG = Pm-3m (221); calculated formation energy = 156.0 kJ per mole of atoms; density of states at the Fermi level = 0.841 states/eV per atom; energy above the most stable polymorph in this dataset = 2227.1 meV/atom; calculated volume = 29.90 Å³ per atom
1.0
5.308 0.000 0.000
0.000 5.308 0.000
0.000 0.000 5.308
Ba Hf P
1 1 3
Cartesian
0.000 0.000 0.000
2.654 2.654 2.654
0.000 0.000 2.654
0.000 2.654 0.000
2.654 0.000 0.000

---

Entry 19:
BaHfP3 | Alexandria | PBE | relaxed; SG = Pm-3m (221); calculated formation energy = -58.9 kJ per mole of atoms; density of states at the Fermi level = 0.673 states/eV per atom; energy above the most stable polymorph in this dataset = 0.0 meV/atom; calculated volume = 25.93 Å³ per atom
1.0
5.061 0.000 0.000
0.000 5.061 0.000
0.000 0.000 5.061
Ba Hf P
1 1 3
Cartesian
0.000 0.000 0.000
2.530 2.530 2.530
0.000 2.530 2.530
2.530 0.000 2.530
2.530 2.530 0.000

---

Entry 20:
BaHf3P | Alexandria | PBE | relaxed; SG = Pm-3m (221); calculated formation energy = 6.4 kJ per mole of atoms; density of states at the Fermi level = 0.823 states/eV per atom; energy above the most stable polymorph in this dataset = 0.0 meV/atom; calculated volume = 25.87 Å³ per atom
1.0
5.058 0.000 0.000
0.000 5.058 0.000
0.000 0.000 5.058
Ba Hf P
1 3 1
Cartesian
0.000 0.000 0.000
0.000 2.529 2.529
2.529 0.000 2.529
2.529 2.529 0.000
2.529 2.529 2.529

---

Entry 21:
Ba2HfP2 | Alexandria | PBE | relaxed; SG = I4/mmm (139); calculated formation energy = 17.7 kJ per mole of atoms; density of states at the Fermi level = 0.854 states/eV per atom; energy above the most stable polymorph in this dataset = 808.5 meV/atom; calculated volume = 26.69 Å³ per atom
1.0
-2.235 2.235 6.676
2.235 -2.235 6.676
2.235 2.235 -6.676
Ba Hf P
2 1 2
Cartesian
2.235 0.000 3.338
0.000 2.235 3.338
0.000 0.000 0.000
0.000 0.000 5.597
0.000 0.000 7.755

---

Entry 22:
BaHf2P | Alexandria | PBE | relaxed; SG = I4_1/amd (141); calculated formation energy = 22.9 kJ per mole of atoms; density of states at the Fermi level = 0.762 states/eV per atom; calculated volume = 32.09 Å³ per atom
1.0
-2.623 2.623 9.329
2.623 -2.623 9.329
2.623 2.623 -9.329
Ba Hf P
2 4 2
Cartesian
2.623 1.311 2.332
0.000 1.311 6.997
0.000 0.000 0.000
1.311 1.311 -4.664
1.311 -1.311 4.664
0.000 2.623 0.000
2.623 -1.311 6.997
0.000 3.934 2.332

---

Entry 23:
BaHfP2 | Alexandria | PBE | relaxed; SG = I-42d (122); calculated formation energy = -87.4 kJ per mole of atoms; density of states at the Fermi level = 0.000 states/eV per atom; energy above the most stable polymorph in this dataset = 195.1 meV/atom; calculated volume = 30.43 Å³ per atom
1.0
-3.665 3.665 4.531
3.665 -3.665 4.531
3.665 3.665 -4.531
Ba Hf P
2 2 4
Cartesian
0.000 0.000 0.000
0.000 3.665 2.266
3.665 0.000 2.266
0.000 0.000 4.531
1.832 2.392 -1.133
4.938 1.832 1.133
1.832 1.273 3.398
-1.273 1.832 5.664

---

Entry 24:
Ba3HfP3 | Alexandria | PBE | relaxed; SG = P2_1/c (14); calculated formation energy = -101.8 kJ per mole of atoms; density of states at the Fermi level = 0.448 states/eV per atom; calculated volume = 33.10 Å³ per atom
1.0
9.223 0.000 0.000
0.000 7.943 0.000
-0.839 0.000 12.653
Ba Hf P
12 4 12
Cartesian
0.434 1.194 1.814
0.015 2.777 8.140
2.452 5.662 10.089
2.871 6.253 3.762
2.817 1.803 11.769
3.236 2.169 5.443
5.148 5.774 7.210
5.567 6.140 0.883
5.513 1.690 8.890
5.933 2.281 2.564
8.369 5.166 4.513
7.950 6.749 10.839
1.414 4.681 0.778
0.994 7.233 7.105
7.390 0.710 5.548
6.971 3.262 11.875
0.631 0.399 4.848
0.211 3.572 11.175
1.929 4.939 6.663
2.348 6.976 0.336
2.592 0.606 8.497
3.012 3.366 2.170
5.372 4.577 10.482
5.792 7.337 4.156
6.036 0.967 12.317
6.455 3.004 5.990
8.173 4.371 1.478
7.753 7.544 7.804

---

Entry 25:
BaHf3P | Alexandria | PBE | relaxed; SG = Pm-3m (221); calculated formation energy = 223.9 kJ per mole of atoms; density of states at the Fermi level = 1.604 states/eV per atom; energy above the most stable polymorph in this dataset = 2255.1 meV/atom; calculated volume = 29.28 Å³ per atom
1.0
5.270 0.000 0.000
0.000 5.270 0.000
0.000 0.000 5.270
Ba Hf P
1 3 1
Cartesian
0.000 0.000 0.000
0.000 0.000 2.635
0.000 2.635 0.000
2.635 0.000 0.000
2.635 2.635 2.635